1.
Na2H2I | PBE | optimized geometry

As for the crystal system: triclinic. The value obtained for the density of states at the Fermi level is 1.5 states/eV per cell. As for the raw total energy: -2.55 eV per atom.

It has space group P-1 (No. 2), with a = 4.1870 Å, b = 5.1376 Å, c = 6.8264 Å, α = 95.91°, β = 90.15° and γ = 113.49°. Symmetry generates all atoms from Na at (0.2140, 0.4312, 0.2550), H at (0.0380, 0.0816, 0.5183) and I at (0.5000, 0.0000, 0.0000).


2.
NaH6I | PBE | optimized geometry

As for the crystal system: monoclinic. The value obtained for the density of states at the Fermi level is 0.0 states/eV per cell. As for the raw total energy: -2.87 eV per atom.

It has space group C2/m (No. 12), with a = 6.0763 Å, b = 10.7537 Å, c = 4.0337 Å, α = 90.00°, β = 101.33° and γ = 90.00°. Symmetry generates all atoms from Na at (0.0000, 0.0000, 0.0000), H at (0.0055, 0.2272, 0.9085), H at (0.1923, 0.0000, 0.5652) and I at (0.0000, 0.5000, 0.5000).


3.
NaHI3 | PBE | optimized geometry

As for the crystal system: monoclinic. The value obtained for the density of states at the Fermi level is 2.2 states/eV per cell. As for the raw total energy: -2.29 eV per atom.

It has space group P2_1/c (No. 14), with a = 9.3851 Å, b = 8.4256 Å, c = 12.9869 Å, α = 90.00°, β = 122.90° and γ = 90.00°. Symmetry generates all atoms from Na at (0.2449, 0.0517, 0.1424), H at (0.3495, 0.7193, 0.8095), I at (0.0855, 0.7324, 0.2165), I at (0.0922, 0.7445, 0.4679) and I at (0.4399, 0.1472, 0.6271).


4.
Na2H2I | PBE | optimized geometry

As for the crystal system: tetragonal. The value obtained for the density of states at the Fermi level is 3.8 states/eV per cell. As for the raw total energy: -2.49 eV per atom.

It has space group P4/mbm (No. 127), with a = 8.2682 Å, b = 8.2682 Å, c = 8.1737 Å, α = 90.00°, β = 90.00° and γ = 90.00°. Symmetry generates all atoms from Na at (0.1598, 0.3402, 0.0000), H at (0.0321, 0.5321, 0.5000) and I at (0.0000, 0.0000, 0.0000).


Number 1: total moment 0.000 μB per formula unit. Number 2: total moment 0.000 μB per formula unit. Number 3: total moment 0.000 μB per formula unit. Number 4: total moment 0.588 μB per formula unit.